A) Pm2DyCu, relaxed, DFT PBE; D(E_F) = 5.151 states/eV/f.u.
1.0
1.753 1.012 11.370
-1.753 1.012 11.370
0.000 -2.024 11.370
Pm Dy Cu
2 1 1
Direct
0.082 0.082 0.082
0.918 0.918 0.918
0.500 0.500 0.500
0.000 0.000 0.000

=====

B) Pm2DyCu, relaxed, DFT PBE; D(E_F) = 4.991 states/eV/f.u.
1.0
1.838 1.061 9.951
-1.838 1.061 9.951
0.000 -2.122 9.951
Pm Dy Cu
2 1 1
Direct
0.000 0.000 0.000
0.195 0.195 0.195
0.764 0.764 0.764
0.597 0.597 0.597

=====

C) Pm2DyCu, relaxed, DFT PBE; D(E_F) = 4.234 states/eV/f.u.
1.0
6.974 0.000 0.000
0.000 9.925 0.000
0.000 0.000 6.541
Pm Dy Cu
8 4 4
Direct
0.195 0.059 0.181
0.195 0.441 0.181
0.305 0.559 0.681
0.305 0.941 0.681
0.695 0.059 0.319
0.695 0.441 0.319
0.805 0.559 0.819
0.805 0.941 0.819
0.025 0.250 0.638
0.475 0.750 0.138
0.525 0.250 0.862
0.975 0.750 0.362
0.098 0.750 0.949
0.402 0.250 0.449
0.598 0.750 0.551
0.902 0.250 0.051

=====

Stability, descending: C), B), A)

=====

A) Pm2DyCu, relaxed, DFT PBE; D(E_F) = 6.288 states/eV/f.u.
1.0
3.597 0.000 0.000
0.000 3.597 0.000
0.000 0.000 8.650
Pm Dy Cu
2 1 1
Direct
0.000 0.000 0.202
0.000 0.000 0.798
0.500 0.500 0.500
0.500 0.500 0.000

=====

B) Pm2DyCu, relaxed, DFT PBE; D(E_F) = 4.563 states/eV/f.u.
1.0
4.963 0.000 0.000
0.000 7.723 0.000
-2.480 0.000 5.842
Pm Dy Cu
4 2 2
Direct
0.146 0.030 0.291
0.146 0.470 0.291
0.854 0.530 0.709
0.854 0.970 0.709
0.456 0.250 0.912
0.544 0.750 0.088
0.299 0.750 0.599
0.701 0.250 0.401

=====

Stability, descending: A), B)

=====

A) PrDyCu, relaxed, DFT PBE; D(E_F) = 3.617 states/eV/f.u.
1.0
-1.776 1.776 6.282
1.776 -1.776 6.282
1.776 1.776 -6.282
Pr Dy Cu
1 1 1
Direct
0.000 0.000 0.000
0.278 0.278 0.000
0.657 0.657 0.000

=====

B) PrDyCu, relaxed, DFT PBE; D(E_F) = 3.328 states/eV/f.u.
1.0
4.827 0.000 0.000
-2.414 4.181 0.000
0.000 0.000 3.904
Pr Dy Cu
1 1 1
Direct
0.000 0.000 0.000
0.667 0.333 0.468
0.333 0.667 0.646

=====

Stability, descending: A), B)

=====

A) PrDyCu, relaxed, DFT PBE; D(E_F) = 3.073 states/eV/f.u.
1.0
4.794 0.000 0.000
0.000 4.794 0.000
0.000 0.000 7.047
Pr Dy Cu
2 2 2
Direct
0.250 0.250 0.112
0.750 0.750 0.888
0.250 0.750 0.500
0.750 0.250 0.500
0.250 0.250 0.717
0.750 0.750 0.283

=====

B) PrDyCu, relaxed, DFT PBE; D(E_F) = 3.113 states/eV/f.u.
1.0
3.754 0.000 0.000
0.000 3.913 0.000
-1.864 0.000 11.014
Pr Dy Cu
2 2 2
Direct
0.193 0.250 0.386
0.807 0.750 0.614
0.421 0.250 0.845
0.579 0.750 0.155
0.037 0.250 0.071
0.963 0.750 0.929

=====

C) PrDyCu, relaxed, DFT PBE; D(E_F) = 5.013 states/eV/f.u.
1.0
0.000 3.492 3.492
3.492 0.000 3.492
3.492 3.492 0.000
Pr Dy Cu
1 1 1
Direct
0.000 0.000 0.000
0.500 0.500 0.500
0.750 0.750 0.750

=====

Stability, descending: B), A), C)

=====

A) Pr2DyCu, relaxed, DFT PBE; D(E_F) = 4.739 states/eV/f.u.
1.0
1.859 1.073 10.053
-1.859 1.073 10.053
0.000 -2.147 10.053
Pr Dy Cu
2 1 1
Direct
0.000 0.000 0.000
0.194 0.194 0.194
0.430 0.430 0.430
0.597 0.597 0.597

=====

B) Pr2DyCu, relaxed, DFT PBE; D(E_F) = 7.172 states/eV/f.u.
1.0
1.777 1.026 11.106
-1.777 1.026 11.106
0.000 -2.052 11.106
Pr Dy Cu
2 1 1
Direct
0.102 0.102 0.102
0.898 0.898 0.898
0.000 0.000 0.000
0.500 0.500 0.500

=====

Stability, descending: A), B)

=====

A) PrDyCuPt, relaxed, DFT PBE; D(E_F) = 3.195 states/eV/f.u.
1.0
4.447 0.000 0.000
0.000 1.935 5.439
0.000 -1.935 5.439
Pr Dy Cu Pt
1 1 1 1
Direct
0.000 0.000 0.000
0.500 0.277 0.277
0.500 0.567 0.567
0.000 0.720 0.720

=====

B) PrDyCuPt, relaxed, DFT PBE; D(E_F) = 2.050 states/eV/f.u.
1.0
0.000 3.560 3.560
3.560 0.000 3.560
3.560 3.560 0.000
Pr Dy Cu Pt
1 1 1 1
Direct
0.000 0.000 0.000
0.500 0.500 0.500
0.250 0.250 0.250
0.750 0.750 0.750

=====

Stability, descending: A), B)

=====

A) PrDyCuRh, relaxed, DFT PBE; D(E_F) = 2.846 states/eV/f.u.
1.0
4.429 0.000 0.000
0.000 1.935 5.299
0.000 -1.935 5.299
Pr Dy Cu Rh
1 1 1 1
Direct
0.000 0.000 0.000
0.500 0.723 0.723
0.500 0.429 0.429
0.000 0.275 0.275

=====

B) PrDyCuRh, relaxed, DFT PBE; D(E_F) = 3.373 states/eV/f.u.
1.0
0.000 3.526 3.526
3.526 0.000 3.526
3.526 3.526 0.000
Pr Dy Cu Rh
1 1 1 1
Direct
0.000 0.000 0.000
0.500 0.500 0.500
0.250 0.250 0.250
0.750 0.750 0.750

=====

Stability, descending: A), B)

=====

A) Dy2Cu2Pt, relaxed, DFT PBE; D(E_F) = 3.094 states/eV/f.u.
1.0
7.098 0.000 0.000
0.000 7.098 0.000
0.000 0.000 3.825
Dy Cu Pt
4 4 2
Direct
0.183 0.317 0.000
0.317 0.817 0.000
0.683 0.183 0.000
0.817 0.683 0.000
0.120 0.620 0.500
0.380 0.120 0.500
0.620 0.880 0.500
0.880 0.380 0.500
0.000 0.000 0.500
0.500 0.500 0.500

=====

B) Dy2Cu2Pt, relaxed, DFT PBE; D(E_F) = 2.962 states/eV/f.u.
1.0
5.080 -2.004 0.000
5.080 2.004 0.000
-4.248 0.000 9.946
Dy Cu Pt
4 4 2
Direct
0.012 0.012 0.339
0.191 0.191 0.118
0.809 0.809 0.882
0.988 0.988 0.661
0.363 0.363 0.451
0.472 0.472 0.105
0.528 0.528 0.895
0.637 0.637 0.549
0.288 0.288 0.679
0.712 0.712 0.321

=====

Stability, descending: B), A)

=====

A) SmDyCuPt, relaxed, DFT PBE; D(E_F) = 2.806 states/eV/f.u.
1.0
4.453 0.000 0.000
0.000 1.912 5.330
0.000 -1.912 5.330
Sm Dy Cu Pt
1 1 1 1
Direct
0.000 0.000 0.000
0.500 0.723 0.723
0.500 0.437 0.437
0.000 0.281 0.281

=====

B) SmDyCuPt, relaxed, DFT PBE; D(E_F) = 2.192 states/eV/f.u.
1.0
0.000 3.521 3.521
3.521 0.000 3.521
3.521 3.521 0.000
Sm Dy Cu Pt
1 1 1 1
Direct
0.000 0.000 0.000
0.500 0.500 0.500
0.250 0.250 0.250
0.750 0.750 0.750

=====

Stability, descending: A), B)

=====

A) DyThCuPt, relaxed, DFT PBE; D(E_F) = 3.990 states/eV/f.u.
1.0
0.000 3.555 3.555
3.555 0.000 3.555
3.555 3.555 0.000
Dy Th Cu Pt
1 1 1 1
Direct
0.000 0.000 0.000
0.500 0.500 0.500
0.750 0.750 0.750
0.250 0.250 0.250

=====

B) DyThCuPt, relaxed, DFT PBE; D(E_F) = 3.520 states/eV/f.u.
1.0
4.543 0.000 0.000
0.000 1.912 5.308
0.000 -1.912 5.308
Dy Th Cu Pt
1 1 1 1
Direct
0.000 0.000 0.000
0.500 0.279 0.279
0.000 0.720 0.720
0.500 0.561 0.561

=====

Stability, descending: B), A)

=====

A) DyYCuPt, relaxed, DFT PBE; D(E_F) = 2.522 states/eV/f.u.
1.0
0.000 3.487 3.487
3.487 0.000 3.487
3.487 3.487 0.000
Dy Y Cu Pt
1 1 1 1
Direct
0.000 0.000 0.000
0.500 0.500 0.500
0.250 0.250 0.250
0.750 0.750 0.750

=====

B) DyYCuPt, relaxed, DFT PBE; D(E_F) = 2.462 states/eV/f.u.
1.0
4.447 0.000 0.000
0.000 1.893 5.249
0.000 -1.893 5.249
Dy Y Cu Pt
1 1 1 1
Direct
0.000 0.000 0.000
0.500 0.277 0.277
0.000 0.716 0.716
0.500 0.560 0.560

=====

Stability, descending: B), A)

=====

A) DyPuCu, relaxed, DFT PBE; D(E_F) = 8.707 states/eV/f.u.
1.0
-1.723 1.723 6.067
1.723 -1.723 6.067
1.723 1.723 -6.067
Dy Pu Cu
1 1 1
Direct
0.000 0.000 0.000
0.716 0.716 0.000
0.366 0.366 0.000

=====

B) DyPuCu, relaxed, DFT PBE; D(E_F) = 9.288 states/eV/f.u.
1.0
6.059 0.000 0.000
0.000 6.753 0.000
-0.581 0.000 7.132
Dy Pu Cu
4 4 4
Direct
0.134 0.156 0.328
0.134 0.344 0.828
0.866 0.656 0.172
0.866 0.844 0.672
0.323 0.656 0.496
0.323 0.844 0.996
0.677 0.156 0.004
0.677 0.344 0.504
0.401 0.040 0.652
0.401 0.460 0.152
0.599 0.540 0.848
0.599 0.960 0.348

=====

Stability, descending: A), B)

=====

A) Dy2PuCu, relaxed, DFT PBE; D(E_F) = 9.332 states/eV/f.u.
1.0
3.451 0.000 0.000
0.000 3.451 0.000
0.000 0.000 8.484
Dy Pu Cu
2 1 1
Direct
0.000 0.000 0.203
0.000 0.000 0.797
0.500 0.500 0.500
0.500 0.500 0.000

=====

B) Dy2PuCu, relaxed, DFT PBE; D(E_F) = 10.970 states/eV/f.u.
1.0
1.706 0.985 10.808
-1.706 0.985 10.808
0.000 -1.970 10.808
Dy Pu Cu
2 1 1
Direct
0.102 0.102 0.102
0.898 0.898 0.898
0.000 0.000 0.000
0.500 0.500 0.500

=====

Stability, descending: A), B)